1.
Here is a relaxed structure of Cs2KNa from the Alexandria database. Energies are from GGA-PBEsol.

a = 7.527 Å, b = 7.527 Å, c = 7.527 Å
α = 60.00°, β = 60.00°, γ = 60.00°
Positions (direct):
Cs  0.250  0.250  0.250
Cs  0.750  0.750  0.750
K  0.000  0.000  0.000
Na  0.500  0.500  0.500

Summary:
The value obtained for the total energy is -4.33 eV per cell. The space group is Fm-3m, No. 225. The density comes out at 1.81 Mg/m³.

***

2.
Here is a relaxed structure of Zr4FeNi from the Alexandria database. Energies are from GGA-PBEsol.

a = 5.200 Å, b = 5.200 Å, c = 5.200 Å
α = 105.63°, β = 105.63°, γ = 117.46°
Positions (direct):
Zr  0.080  0.580  0.160
Zr  0.420  0.920  0.840
Zr  0.580  0.420  0.500
Zr  0.920  0.080  0.500
Fe  0.500  0.500  0.000
Ni  0.000  0.000  0.000

Summary:
The value obtained for the total energy is -52.91 eV per cell. The space group is I422, No. 97. The density comes out at 7.46 Mg/m³.